1.
TcNiIr2 | meta-GGA SCAN | PBEsol geometry

Lattice parameters (Å, degrees): 4.587 4.587 4.588 99.50 99.50 33.76
Atoms (fractional coordinates):
Tc1 0.000 0.000 0.000
Ni1 0.500 0.500 0.500
Ir1 0.251 0.251 0.748
Ir2 0.749 0.749 0.252

Density of states at the Fermi level: 3.93 states/eV/cell
ΔH_f (0 K): -0.0904 eV per atom
Offset from the most stable computed form: 69.5 meV/atom


2.
SnTe3O8 | meta-GGA SCAN | PBEsol geometry

Lattice parameters (Å, degrees): 9.612 9.612 9.612 109.47 109.47 109.47
Atoms (fractional coordinates):
Sn1 0.000 0.000 0.000
Sn2 0.000 0.500 0.500
Sn3 0.500 0.000 0.500
Sn4 0.500 0.500 0.000
Te1 0.039 0.289 0.750
Te2 0.211 0.250 0.461
Te3 0.250 0.461 0.211
Te4 0.250 0.961 0.711
Te5 0.289 0.750 0.039
Te6 0.461 0.211 0.250
Te7 0.539 0.789 0.750
Te8 0.711 0.250 0.961
Te9 0.750 0.039 0.289
Te10 0.750 0.539 0.789
Te11 0.789 0.750 0.539
Te12 0.961 0.711 0.250
O1 0.000 0.166 0.500
O2 0.000 0.834 0.500
O3 0.031 0.065 0.240
O4 0.034 0.469 0.709
O5 0.065 0.240 0.031
O6 0.166 0.500 0.000
O7 0.175 0.435 0.466
O8 0.209 0.740 0.675
O9 0.240 0.031 0.065
O10 0.260 0.325 0.791
O11 0.291 0.966 0.531
O12 0.325 0.791 0.260
O13 0.334 0.334 0.334
O14 0.435 0.466 0.175
O15 0.466 0.175 0.435
O16 0.469 0.709 0.034
O17 0.500 0.000 0.166
O18 0.500 0.000 0.834
O19 0.531 0.291 0.966
O20 0.534 0.825 0.565
O21 0.565 0.534 0.825
O22 0.666 0.666 0.666
O23 0.675 0.209 0.740
O24 0.709 0.034 0.469
O25 0.740 0.675 0.209
O26 0.760 0.969 0.935
O27 0.791 0.260 0.325
O28 0.825 0.565 0.534
O29 0.834 0.500 0.000
O30 0.935 0.760 0.969
O31 0.966 0.531 0.291
O32 0.969 0.935 0.760

Density of states at the Fermi level: 0.00 states/eV/cell
Uncorrected formation energy: -1.2870 eV/atom


3.
KCd2CO | meta-GGA SCAN | PBEsol geometry

Lattice parameters (Å, degrees): 4.206 4.206 5.674 90.00 90.00 90.00
Atoms (fractional coordinates):
K1 0.000 0.000 0.000
Cd1 0.000 0.500 0.500
Cd2 0.500 0.000 0.500
C1 0.000 0.000 0.500
O1 0.500 0.500 0.000

Density of states at the Fermi level: 0.91 states/eV/cell
Uncorrected formation energy: 0.4508 eV/atom


4.
TaTiP2 | meta-GGA SCAN | PBEsol geometry

Lattice parameters (Å, degrees): 6.731 6.731 6.731 131.71 131.71 70.69
Atoms (fractional coordinates):
Ta1 0.000 0.000 0.000
Ta2 0.750 0.250 0.500
Ti1 0.250 0.750 0.500
Ti2 0.500 0.500 0.000
P1 0.127 0.625 0.002
P2 0.375 0.377 0.502
P3 0.623 0.125 0.998
P4 0.875 0.873 0.498

Density of states at the Fermi level: 6.44 states/eV/cell
ΔH_f (0 K): -0.2702 eV per atom


5.
ScAgOs2 | meta-GGA SCAN | PBEsol geometry

Lattice parameters (Å, degrees): 2.709 2.709 8.542 90.00 90.00 90.00
Atoms (fractional coordinates):
Sc1 0.000 0.000 0.000
Ag1 0.000 0.000 0.500
Os1 0.500 0.500 0.250
Os2 0.500 0.500 0.750

Density of states at the Fermi level: 4.43 states/eV/cell
ΔH_f (0 K): 0.4217 eV per atom
Offset from the most stable computed form: 285.6 meV/atom


6.
BaLa2CdRe | meta-GGA SCAN | PBEsol geometry

Lattice parameters (Å, degrees): 5.793 5.793 6.003 90.00 90.00 90.00
Atoms (fractional coordinates):
Ba1 0.000 0.000 0.000
La1 0.000 0.500 0.500
La2 0.500 0.000 0.500
Cd1 0.000 0.000 0.500
Re1 0.500 0.500 0.000

Density of states at the Fermi level: 6.44 states/eV/cell
ΔH_f (0 K): 1.3892 eV per atom


7.
BaZnCd2 | meta-GGA SCAN | PBEsol geometry

Lattice parameters (Å, degrees): 6.467 6.467 6.467 42.54 42.54 42.54
Atoms (fractional coordinates):
Ba1 0.000 0.000 0.000
Zn1 0.801 0.801 0.801
Cd1 0.202 0.202 0.202
Cd2 0.479 0.479 0.479

Density of states at the Fermi level: 2.59 states/eV/cell
ΔH_f (0 K): -0.2521 eV per atom


8.
Fe3Ge | meta-GGA SCAN | PBEsol geometry

Lattice parameters (Å, degrees): 5.048 5.048 4.133 90.00 90.00 120.00
Atoms (fractional coordinates):
Fe1 0.163 0.325 0.250
Fe2 0.163 0.837 0.250
Fe3 0.325 0.163 0.750
Fe4 0.675 0.837 0.250
Fe5 0.837 0.163 0.750
Fe6 0.837 0.675 0.750
Ge1 0.333 0.667 0.750
Ge2 0.667 0.333 0.250

Density of states at the Fermi level: 4.52 states/eV/cell
ΔH_f (0 K): -0.1368 eV per atom


9.
MgMnBr | meta-GGA SCAN | PBEsol geometry

Lattice parameters (Å, degrees): 4.779 4.779 4.779 60.00 60.00 60.00
Atoms (fractional coordinates):
Mg1 0.000 0.000 0.000
Mn1 0.750 0.750 0.750
Br1 0.250 0.250 0.250

Density of states at the Fermi level: 1.58 states/eV/cell
Uncorrected formation energy: 0.3411 eV/atom


10.
K2LiZn | meta-GGA SCAN | PBEsol geometry

Lattice parameters (Å, degrees): 4.143 4.163 8.934 90.00 90.00 90.00
Atoms (fractional coordinates):
K1 0.000 0.000 0.226
K2 0.000 0.000 0.774
Li1 0.500 0.500 0.500
Zn1 0.500 0.500 0.000

Density of states at the Fermi level: 2.56 states/eV/cell
ΔH_f (0 K): 0.2077 eV per atom


11.
LiCdAu | meta-GGA SCAN | PBEsol geometry

Lattice parameters (Å, degrees): 4.509 4.509 2.835 90.00 90.00 120.00
Atoms (fractional coordinates):
Li1 0.000 0.000 0.000
Cd1 0.667 0.333 0.647
Au1 0.333 0.667 0.216

Density of states at the Fermi level: 0.97 states/eV/cell
ΔH_f (0 K): -0.4347 eV per atom
Offset from the most stable computed form: 13.9 meV/atom


12.
Tl7Au | meta-GGA SCAN | PBEsol geometry

Lattice parameters (Å, degrees): 6.677 6.677 6.677 60.00 60.00 60.00
Atoms (fractional coordinates):
Tl1 0.000 0.000 0.000
Tl2 0.000 0.000 0.500
Tl3 0.000 0.500 0.000
Tl4 0.000 0.500 0.500
Tl5 0.500 0.000 0.000
Tl6 0.500 0.000 0.500
Tl7 0.500 0.500 0.000
Au1 0.500 0.500 0.500

Density of states at the Fermi level: 4.24 states/eV/cell
ΔH_f (0 K): 0.0655 eV per atom


- What is the formula in the ninth record?
  MgMnBr


- Number 9 is which compound?
  MgMnBr